Record 1
Here is Ca3HW at its PBEsol-relaxed geometry from Alexandria via LeMat-Bulk. Energies are from meta-GGA SCAN.

**Polymorph energy (0 for the lowest one)**: 0 meV per atom
**E_tot**: -19.78 eV per atom

CIF file:
```
data_Ca3HW
_cell_length_a 4.742
_cell_length_b 4.742
_cell_length_c 4.742
_cell_angle_alpha 90.00
_cell_angle_beta 90.00
_cell_angle_gamma 90.00
_space_group_name_H-M_alt 'P 1'
_space_group_IT_number 1
_space_group_name_Hall 'P 1'
loop_
_atom_site_label
_atom_site_type_symbol
_atom_site_fract_x
_atom_site_fract_y
_atom_site_fract_z
Ca1 Ca 0.000 0.000 0.500
Ca2 Ca 0.000 0.500 0.000
Ca3 Ca 0.500 0.000 0.000
H1 H 0.000 0.000 0.000
W1 W 0.500 0.500 0.500
```

=====

Record 2
Here is Co3Ge2 at its PBEsol-relaxed geometry from Alexandria via LeMat-Bulk. Energies are from meta-GGA SCAN.

**E_tot**: -18.08 eV per atom

CIF file:
```
data_Co3Ge2
_cell_length_a 3.866
_cell_length_b 3.866
_cell_length_c 4.793
_cell_angle_alpha 90.00
_cell_angle_beta 90.00
_cell_angle_gamma 120.00
_space_group_name_H-M_alt 'P 1'
_space_group_IT_number 1
_space_group_name_Hall 'P 1'
loop_
_atom_site_label
_atom_site_type_symbol
_atom_site_fract_x
_atom_site_fract_y
_atom_site_fract_z
Co1 Co 0.000 0.000 0.000
Co2 Co 0.333 0.667 0.258
Co3 Co 0.333 0.667 0.742
Ge1 Ge 0.000 0.000 0.500
Ge2 Ge 0.667 0.333 0.000
```

=====

Record 3
Here is CaNbSe3 at its PBEsol-relaxed geometry from Alexandria via LeMat-Bulk. Energies are from meta-GGA SCAN.

**E_form (uncorrected)**: -0.98 eV/atom
**E_tot**: -21.58 eV per atom

CIF file:
```
data_CaNbSe3
_cell_length_a 5.024
_cell_length_b 5.024
_cell_length_c 5.024
_cell_angle_alpha 90.00
_cell_angle_beta 90.00
_cell_angle_gamma 90.00
_space_group_name_H-M_alt 'P 1'
_space_group_IT_number 1
_space_group_name_Hall 'P 1'
loop_
_atom_site_label
_atom_site_type_symbol
_atom_site_fract_x
_atom_site_fract_y
_atom_site_fract_z
Ca1 Ca 0.000 0.000 0.000
Nb1 Nb 0.500 0.500 0.500
Se1 Se 0.000 0.500 0.500
Se2 Se 0.500 0.000 0.500
Se3 Se 0.500 0.500 0.000
```

=====

Record 4
Here is SrLa2Co3O9 at its PBEsol-relaxed geometry from Alexandria via LeMat-Bulk. Energies are from meta-GGA SCAN.

**Polymorph energy (0 for the lowest one)**: 0 meV per atom
**E_form (uncorrected)**: -2.44 eV/atom
**E_tot**: -16.87 eV per atom

CIF file:
```
data_SrLa2Co3O9
_cell_length_a 5.344
_cell_length_b 5.344
_cell_length_c 13.166
_cell_angle_alpha 90.69
_cell_angle_beta 90.69
_cell_angle_gamma 59.87
_space_group_name_H-M_alt 'P 1'
_space_group_IT_number 1
_space_group_name_Hall 'P 1'
loop_
_atom_site_label
_atom_site_type_symbol
_atom_site_fract_x
_atom_site_fract_y
_atom_site_fract_z
Sr1 Sr 0.003 0.003 0.250
Sr2 Sr 0.997 0.997 0.750
La1 La 0.330 0.330 0.918
La2 La 0.336 0.336 0.416
La3 La 0.664 0.664 0.584
La4 La 0.670 0.670 0.082
Co1 Co 0.000 0.000 0.000
Co2 Co 0.000 0.000 0.500
Co3 Co 0.332 0.332 0.668
Co4 Co 0.334 0.334 0.169
Co5 Co 0.666 0.666 0.831
Co6 Co 0.668 0.668 0.332
O1 O 0.018 0.515 0.260
O2 O 0.151 0.647 0.072
O3 O 0.154 0.154 0.095
O4 O 0.185 0.185 0.564
O5 O 0.188 0.679 0.588
O6 O 0.321 0.812 0.412
O7 O 0.353 0.849 0.928
O8 O 0.482 0.482 0.768
O9 O 0.485 0.982 0.740
O10 O 0.515 0.018 0.260
O11 O 0.518 0.518 0.232
O12 O 0.647 0.151 0.072
O13 O 0.679 0.188 0.588
O14 O 0.812 0.321 0.412
O15 O 0.815 0.815 0.436
O16 O 0.846 0.846 0.905
O17 O 0.849 0.353 0.928
O18 O 0.982 0.485 0.740
```

=====

Record 5
Here is Zn2In at its PBEsol-relaxed geometry from Alexandria via LeMat-Bulk. Energies are from meta-GGA SCAN.

**E_tot**: -20.03 eV per atom

CIF file:
```
data_Zn2In
_cell_length_a 3.496
_cell_length_b 3.979
_cell_length_c 7.805
_cell_angle_alpha 90.00
_cell_angle_beta 90.00
_cell_angle_gamma 90.00
_space_group_name_H-M_alt 'P 1'
_space_group_IT_number 1
_space_group_name_Hall 'P 1'
loop_
_atom_site_label
_atom_site_type_symbol
_atom_site_fract_x
_atom_site_fract_y
_atom_site_fract_z
Zn1 Zn 0.000 0.000 0.162
Zn2 Zn 0.000 0.000 0.838
Zn3 Zn 0.500 0.500 0.338
Zn4 Zn 0.500 0.500 0.662
In1 In 0.000 0.000 0.500
In2 In 0.500 0.500 0.000
```

=====

Record 6
Here is LiMn2Si2 at its PBEsol-relaxed geometry from Alexandria via LeMat-Bulk. Energies are from meta-GGA SCAN.

**E_form (uncorrected)**: -0.20 eV/atom
**E_tot**: -11.98 eV per atom

CIF file:
```
data_LiMn2Si2
_cell_length_a 3.722
_cell_length_b 3.722
_cell_length_c 10.188
_cell_angle_alpha 90.00
_cell_angle_beta 90.00
_cell_angle_gamma 90.00
_space_group_name_H-M_alt 'P 1'
_space_group_IT_number 1
_space_group_name_Hall 'P 1'
loop_
_atom_site_label
_atom_site_type_symbol
_atom_site_fract_x
_atom_site_fract_y
_atom_site_fract_z
Li1 Li 0.000 0.000 0.000
Li2 Li 0.500 0.500 0.500
Mn1 Mn 0.000 0.500 0.250
Mn2 Mn 0.000 0.500 0.750
Mn3 Mn 0.500 0.000 0.250
Mn4 Mn 0.500 0.000 0.750
Si1 Si 0.000 0.000 0.384
Si2 Si 0.000 0.000 0.616
Si3 Si 0.500 0.500 0.116
Si4 Si 0.500 0.500 0.884
```

=====

Record 7
Here is FeCo2Mo at its PBEsol-relaxed geometry from Alexandria via LeMat-Bulk. Energies are from meta-GGA SCAN.

**Polymorph energy (0 for the lowest one)**: 134 meV per atom
**E_tot**: -21.73 eV per atom

CIF file:
```
data_FeCo2Mo
_cell_length_a 2.545
_cell_length_b 3.529
_cell_length_c 5.069
_cell_angle_alpha 90.00
_cell_angle_beta 90.00
_cell_angle_gamma 90.00
_space_group_name_H-M_alt 'P 1'
_space_group_IT_number 1
_space_group_name_Hall 'P 1'
loop_
_atom_site_label
_atom_site_type_symbol
_atom_site_fract_x
_atom_site_fract_y
_atom_site_fract_z
Fe1 Fe 0.000 0.000 0.000
Co1 Co 0.500 0.500 0.236
Co2 Co 0.500 0.500 0.764
Mo1 Mo 0.000 0.000 0.500
```

=====

Record 8
Here is SiTeRh2 at its PBEsol-relaxed geometry from Alexandria via LeMat-Bulk. Energies are from meta-GGA SCAN.

**Polymorph energy (0 for the lowest one)**: 365 meV per atom
**E_form (uncorrected)**: -0.05 eV/atom
**E_tot**: -28.75 eV per atom

CIF file:
```
data_SiTeRh2
_cell_length_a 3.298
_cell_length_b 3.298
_cell_length_c 22.428
_cell_angle_alpha 90.00
_cell_angle_beta 90.00
_cell_angle_gamma 120.00
_space_group_name_H-M_alt 'P 1'
_space_group_IT_number 1
_space_group_name_Hall 'P 1'
loop_
_atom_site_label
_atom_site_type_symbol
_atom_site_fract_x
_atom_site_fract_y
_atom_site_fract_z
Si1 Si 0.000 0.000 0.000
Si2 Si 0.333 0.667 0.667
Si3 Si 0.667 0.333 0.333
Te1 Te 0.000 0.000 0.226
Te2 Te 0.333 0.667 0.893
Te3 Te 0.667 0.333 0.560
Rh1 Rh 0.000 0.000 0.486
Rh2 Rh 0.000 0.000 0.723
Rh3 Rh 0.333 0.667 0.152
Rh4 Rh 0.333 0.667 0.390
Rh5 Rh 0.667 0.333 0.056
Rh6 Rh 0.667 0.333 0.819
```

=====

no.,mass density (g/cm³),magnetization (μB per cell)
1,4.75,2.6
2,8.62,2.8
3,4.84,0.0
4,7.01,2.2
5,7.51,0.0
6,4.07,9.3
7,9.83,4.1
8,8.52,0.0